6
Lattice="0.901 1.668 4.450 -1.794 4.271 1.391 -3.550 0.179 3.280" Properties=species:S:1:pos:R:3 comment="InFe4Ni, optimized geometry, DFT PBE" m_tot_mub_per_cell=10.14 ef_ev_per_atom=0.179 space_group=F-43m dos_at_fermi_per_ev_atom=1.48 pbc="T T T"
In -3.332 4.589 6.841
Fe -1.214 3.129 5.647
Fe -3.443 2.383 5.061
Fe -2.564 4.432 4.115
Fe -1.665 2.293 3.419
Ni 0.000 0.000 0.000